Here is crystalline CdCu5 at its relaxed geometry from Alexandria. Energies are from PBE.

Geometry as extended XYZ:
```
6
Lattice="-2.968 1.250 1.783 -0.928 -3.394 -2.965 1.741 -2.392 4.576" Properties=species:S:1:pos:R:3 pbc="T T T"
Cu -2.146 -4.199 3.171
Cu -1.642 -0.860 1.670
Cu -0.410 -3.154 1.529
Cu -2.999 -3.134 1.005
Cu -0.789 -1.924 3.836
Cd -1.280 -1.958 -0.759
```

Summary:
excess energy over the best structure of this formula in the dataset = 0.0000 eV/atom
DOS(E_F) = 0.2713 states/eV per atom
E_tot = -21.10 eV/f.u.